## Li2Np2TiS6 (GGA-PBE)

Data for Li2Np2TiS6 after structural relaxation. Values from VASP.

Summary:
* symmetry: No. 12
* energy relative to the elements, uncorrected: -1.347 eV/atom

```
&SYSTEM
  ibrav = 0, nat = 11, ntyp = 4
/
ATOMIC_SPECIES
Li 6.94 Li.upf
Np 237.00 Np.upf
Ti 47.87 Ti.upf
S 32.06 S.upf
ATOMIC_POSITIONS crystal
Li 0.1606 0.8394 0.0000
Li 0.8394 0.1606 0.0000
Np 0.3358 0.6642 0.5000
Np 0.6642 0.3358 0.5000
Ti 0.0000 0.0000 0.5000
S 0.0720 0.3901 0.7389
S 0.2281 0.2281 0.2589
S 0.3901 0.0720 0.7389
S 0.6099 0.9280 0.2611
S 0.7719 0.7719 0.7411
S 0.9280 0.6099 0.2611
CELL_PARAMETERS angstrom
3.3043 -5.6598 0.0000
3.3043 5.6598 0.0000
-2.0570 0.0000 6.1473
```

***

## Li4Np3TiS8 (GGA-PBE)

Data for Li4Np3TiS8 after structural relaxation. Values from VASP.

Summary:
* symmetry: No. 166
* energy relative to the elements, uncorrected: -1.363 eV/atom

```
&SYSTEM
  ibrav = 0, nat = 16, ntyp = 4
/
ATOMIC_SPECIES
Li 6.94 Li.upf
Np 237.00 Np.upf
Ti 47.87 Ti.upf
S 32.06 S.upf
ATOMIC_POSITIONS crystal
Li 0.0000 0.0000 0.0000
Li 0.0000 0.5000 0.5000
Li 0.5000 0.0000 0.5000
Li 0.5000 0.5000 0.0000
Np 0.0000 0.0000 0.5000
Np 0.0000 0.5000 0.0000
Np 0.5000 0.0000 0.0000
Ti 0.5000 0.5000 0.5000
S 0.2530 0.2530 0.2530
S 0.2599 0.2599 0.7337
S 0.2599 0.7337 0.2599
S 0.2663 0.7401 0.7401
S 0.7337 0.2599 0.2599
S 0.7401 0.2663 0.7401
S 0.7401 0.7401 0.2663
S 0.7470 0.7470 0.7470
CELL_PARAMETERS angstrom
3.8097 2.1995 6.1753
-3.8097 2.1995 6.1753
0.0000 -4.3990 6.1753
```

***

## Li3Np2TiS6 (GGA-PBE)

Data for Li3Np2TiS6 after structural relaxation. Values from VASP.

Summary:
* symmetry: No. 12
* energy relative to the elements, uncorrected: -1.369 eV/atom

```
&SYSTEM
  ibrav = 0, nat = 12, ntyp = 4
/
ATOMIC_SPECIES
Li 6.94 Li.upf
Np 237.00 Np.upf
Ti 47.87 Ti.upf
S 32.06 S.upf
ATOMIC_POSITIONS crystal
Li 0.0000 0.0000 0.0000
Li 0.3386 0.6614 0.0000
Li 0.6614 0.3386 0.0000
Np 0.1675 0.8325 0.5000
Np 0.8325 0.1675 0.5000
Ti 0.5000 0.5000 0.5000
S 0.1032 0.4168 0.2509
S 0.2669 0.2669 0.7445
S 0.4168 0.1032 0.2509
S 0.5832 0.8968 0.7491
S 0.7331 0.7331 0.2555
S 0.8968 0.5832 0.7491
CELL_PARAMETERS angstrom
3.2731 -5.6749 0.0000
3.2731 5.6749 0.0000
-2.1749 0.0000 6.1627
```

***

## Li3Np3TiS8 (GGA-PBE)

Data for Li3Np3TiS8 after structural relaxation. Values from VASP.

Summary:
* symmetry: No. 166
* energy relative to the elements, uncorrected: -1.364 eV/atom

```
&SYSTEM
  ibrav = 0, nat = 15, ntyp = 4
/
ATOMIC_SPECIES
Li 6.94 Li.upf
Np 237.00 Np.upf
Ti 47.87 Ti.upf
S 32.06 S.upf
ATOMIC_POSITIONS crystal
Li 0.0000 0.5000 0.5000
Li 0.5000 0.0000 0.5000
Li 0.5000 0.5000 0.0000
Np 0.0000 0.0000 0.5000
Np 0.0000 0.5000 0.0000
Np 0.5000 0.0000 0.0000
Ti 0.5000 0.5000 0.5000
S 0.2525 0.2525 0.2525
S 0.2660 0.2660 0.7309
S 0.2660 0.7309 0.2660
S 0.2691 0.7340 0.7340
S 0.7309 0.2660 0.2660
S 0.7340 0.2691 0.7340
S 0.7340 0.7340 0.2691
S 0.7475 0.7475 0.7475
CELL_PARAMETERS angstrom
3.8293 2.2108 6.1645
-3.8293 2.2108 6.1645
0.0000 -4.4217 6.1645
```

***

## LiNpTi2S4 (GGA-PBE)

Data for LiNpTi2S4 after structural relaxation. Values from VASP.

Summary:
* symmetry: No. 10
* energy relative to the elements, uncorrected: -1.359 eV/atom

```
&SYSTEM
  ibrav = 0, nat = 8, ntyp = 4
/
ATOMIC_SPECIES
Li 6.94 Li.upf
Np 237.00 Np.upf
Ti 47.87 Ti.upf
S 32.06 S.upf
ATOMIC_POSITIONS crystal
Li 0.0000 0.0000 0.0000
Np 0.5000 0.5000 0.0000
Ti 0.0000 0.5000 0.5000
Ti 0.5000 0.0000 0.5000
S 0.2331 0.0000 0.7293
S 0.2472 0.5000 0.2673
S 0.7528 0.5000 0.7327
S 0.7669 0.0000 0.2707
CELL_PARAMETERS angstrom
6.2745 0.0000 0.0000
0.0000 3.6172 0.0000
-2.0390 0.0000 6.0385
```

***

## LiNpTiS4 (GGA-PBE)

Data for LiNpTiS4 after structural relaxation. Values from VASP.

Summary:
* symmetry: No. 74
* energy relative to the elements, uncorrected: -1.351 eV/atom

```
&SYSTEM
  ibrav = 0, nat = 14, ntyp = 4
/
ATOMIC_SPECIES
Li 6.94 Li.upf
Np 237.00 Np.upf
Ti 47.87 Ti.upf
S 32.06 S.upf
ATOMIC_POSITIONS crystal
Li 0.3900 0.1400 0.2500
Li 0.6100 0.8600 0.7500
Np 0.0000 0.5000 0.5000
Np 0.5000 0.5000 0.0000
Ti 0.0000 0.0000 0.5000
Ti 0.0000 0.5000 0.0000
S 0.2127 0.2465 0.9663
S 0.2198 0.7535 0.4663
S 0.2358 0.2381 0.5023
S 0.2358 0.7335 0.9977
S 0.7642 0.2665 0.0023
S 0.7642 0.7619 0.4977
S 0.7802 0.2465 0.5337
S 0.7873 0.7535 0.0337
CELL_PARAMETERS angstrom
-3.6085 3.9896 5.2589
3.6085 -3.9896 5.2589
3.6085 3.9896 -5.2589
```

***

## LiNpTlS3 (GGA-PBE)

Data for LiNpTlS3 after structural relaxation. Values from VASP.

Summary:
* symmetry: No. 11
* energy relative to the elements, uncorrected: -1.081 eV/atom

```
&SYSTEM
  ibrav = 0, nat = 12, ntyp = 4
/
ATOMIC_SPECIES
Li 6.94 Li.upf
Np 237.00 Np.upf
Tl 204.38 Tl.upf
S 32.06 S.upf
ATOMIC_POSITIONS crystal
Li 0.0767 0.2500 0.0961
Li 0.9233 0.7500 0.9039
Np 0.3243 0.7500 0.3460
Np 0.6757 0.2500 0.6540
Tl 0.2048 0.2500 0.7517
Tl 0.7952 0.7500 0.2483
S 0.1332 0.2500 0.3744
S 0.2038 0.7500 0.0468
S 0.4662 0.7500 0.6544
S 0.5338 0.2500 0.3456
S 0.7962 0.2500 0.9532
S 0.8668 0.7500 0.6256
CELL_PARAMETERS angstrom
8.7294 0.0000 0.0000
0.0000 4.0522 0.0000
-2.4476 0.0000 8.6644
```

***

## LiNp3Tl4S8 (GGA-PBE)

Data for LiNp3Tl4S8 after structural relaxation. Values from VASP.

Summary:
* symmetry: No. 166
* energy relative to the elements, uncorrected: -0.990 eV/atom

```
&SYSTEM
  ibrav = 0, nat = 16, ntyp = 4
/
ATOMIC_SPECIES
Li 6.94 Li.upf
Np 237.00 Np.upf
Tl 204.38 Tl.upf
S 32.06 S.upf
ATOMIC_POSITIONS crystal
Li 0.0000 0.0000 0.0000
Np 0.0000 0.5000 0.5000
Np 0.5000 0.0000 0.5000
Np 0.5000 0.5000 0.0000
Tl 0.0000 0.0000 0.5000
Tl 0.0000 0.5000 0.0000
Tl 0.5000 0.0000 0.0000
Tl 0.5000 0.5000 0.5000
S 0.2355 0.2355 0.7206
S 0.2355 0.7206 0.2355
S 0.2680 0.2680 0.2680
S 0.2794 0.7645 0.7645
S 0.7206 0.2355 0.2355
S 0.7320 0.7320 0.7320
S 0.7645 0.2794 0.7645
S 0.7645 0.7645 0.2794
CELL_PARAMETERS angstrom
4.0121 2.3164 7.4577
-4.0121 2.3164 7.4577
0.0000 -4.6327 7.4577
```